Entry 1:
Computed, not measured: YCuTc3 after structural relaxation at the PBE level of DFT.

Cell: 4.8016 4.8016 4.8016 Å, 90.00 90.00 90.00°
Fractional coordinates of all 5 atoms:
Y (0.0000, 0.0000, 0.0000)
Cu (0.5000, 0.5000, 0.5000)
Tc (0.0000, 0.0000, 0.5000)
Tc (0.0000, 0.5000, 0.0000)
Tc (0.5000, 0.0000, 0.0000)

As for the energy relative to the lowest polymorph listed for this composition: 1405 meV/atom. The value obtained for the formation energy is 2.550 eV/atom. The value obtained for the density of states at the Fermi level is 5.34 states/eV/cell. For the total magnetic moment, the calculation gives 0.703 μB per atom. The calculation puts the volume at 111 Å³ per cell.

---

Entry 2:
Computed, not measured: YCu2Tc after structural relaxation at the PBE level of DFT.

Cell: 4.1385 4.1385 3.8250 Å, 90.00 90.00 90.00°
Fractional coordinates of all 4 atoms:
Y (0.0000, 0.0000, 0.0000)
Cu (0.0000, 0.5000, 0.5000)
Cu (0.5000, 0.0000, 0.5000)
Tc (0.5000, 0.5000, 0.0000)

As for the energy relative to the lowest polymorph listed for this composition: 18 meV/atom. The value obtained for the formation energy is 0.145 eV/atom. The value obtained for the density of states at the Fermi level is 3.33 states/eV/cell. For the total magnetic moment, the calculation gives 0.000 μB per atom. The calculation puts the volume at 66 Å³ per cell.